(1)
A relaxed Tl7In5Bi crystal. Source: the Alexandria database, functional GGA-PBE.

Values from the calculation:
As for the volume: 30.30 Å³/atom. The value obtained for the total magnetic moment is 0.00 μB per formula unit. The calculated formation energy comes out at 0.039 eV/atom.

Cell lengths 13.2468, 12.2289, 5.2897 Å; angles 90.00, 113.18, 90.00 degrees
With the nearest neighbours (Å) after each atom.
Space group Cm (No. 8)
Inequivalent atoms, fractional coordinates:
Tl: 0.0000 0.0000 0.0000 [2 per cell]  4 In 3.15-3.35, 5 Tl 3.22-3.52
Tl: 0.0646 0.5000 0.0612 [2 per cell]  4 Tl 3.37-3.40, 2 Bi 3.61-3.63, 4 In 3.64-3.65
Tl: 0.2359 0.5000 0.7306 [2 per cell]  2 In 3.20, 7 Tl 3.22-3.49
Tl: 0.3661 0.3681 0.3625 [4 per cell]  2 In 3.20-3.21, 7 Tl 3.23-3.52
Tl: 0.3666 0.1955 0.8622 [4 per cell]  3 Tl 3.38-3.40, 6 In 3.39-3.78, 2 Bi 3.56-3.57
In: 0.0726 0.2948 0.5704 [4 per cell]  2 In 3.14, 2 Tl 3.20-3.21
In: 0.1684 0.1955 0.1647 [4 per cell]  2 In 3.14, 2 Tl 3.15-3.20, 1 Bi 3.35
In: 0.1689 0.0000 0.6668 [2 per cell]  4 Tl 3.35-3.39, 2 Bi 3.53-3.54, 4 In 3.56-3.57
Bi: 0.3615 0.0000 0.3578 [2 per cell]  6 In 3.35-3.59, 6 Tl 3.56-3.63

=====

(2)
A relaxed TlInBi2 crystal. Source: the Alexandria database, functional GGA-PBE.

Values from the calculation:
As for the volume: 30.61 Å³/atom. The value obtained for the total magnetic moment is 0.00 μB per formula unit. The calculated formation energy comes out at 0.081 eV/atom. For the offset from the most stable computed form, the calculation gives 74 meV per atom.

Cell lengths 7.8825, 7.8825, 7.8825 Å; angles 90.00, 90.00, 90.00 degrees
With the nearest neighbours (Å) after each atom.
Space group Fm-3m (No. 225)
Inequivalent atoms, fractional coordinates:
Tl: 0.0000 0.0000 0.0000 [4 per cell]  8 Bi 3.41
In: 0.0000 0.0000 0.5000 [4 per cell]  8 Bi 3.41
Bi: 0.2500 0.2500 0.2500 [8 per cell]  4 In 3.41, 4 Tl 3.41

=====

(3)
A relaxed Tl4In2Bi3 crystal. Source: the Alexandria database, functional GGA-PBE.

Values from the calculation:
As for the volume: 31.51 Å³/atom. The value obtained for the total magnetic moment is 0.00 μB per formula unit. The calculated formation energy comes out at 0.022 eV/atom.

Cell lengths 17.0120, 11.4388, 5.8459 Å; angles 90.00, 94.41, 90.00 degrees
With the nearest neighbours (Å) after each atom.
Space group C2/c (No. 15)
Inequivalent atoms, fractional coordinates:
Tl: 0.0719 0.0998 0.0550 [8 per cell]  5 Tl 3.33-3.71, 4 Bi 3.38-3.68, 1 In 3.67
Tl: 0.2320 0.4070 0.9176 [8 per cell]  2 In 3.24-3.31, 3 Tl 3.33-3.61, 3 Bi 3.36-3.60
In: 0.0918 0.4018 0.2636 [8 per cell]  1 In 3.11, 4 Bi 3.20-3.44, 2 Tl 3.24-3.31
Bi: 0.0000 0.3327 0.7500 [4 per cell]  6 In 3.37-3.44, 2 Tl 3.38, 2 Bi 3.51
Bi: 0.1665 0.1899 0.5660 [8 per cell]  1 In 3.20, 2 Bi 3.30-3.51, 4 Tl 3.36-3.54

=====

(4)
A relaxed Tl2In2Bi crystal. Source: the Alexandria database, functional GGA-PBE.

Values from the calculation:
As for the volume: 30.27 Å³/atom. The value obtained for the total magnetic moment is 0.00 μB per formula unit. The calculated formation energy comes out at 0.105 eV/atom. For the offset from the most stable computed form, the calculation gives 101 meV per atom.

Cell lengths 9.3397, 9.3397, 3.4699 Å; angles 90.00, 90.00, 90.00 degrees
With the nearest neighbours (Å) after each atom.
Space group P4/mbm (No. 127)
Inequivalent atoms, fractional coordinates:
Tl: 0.1433 0.3567 0.0000 [4 per cell]  6 In 3.17-3.29, 2 Tl 3.47
In: 0.1563 0.6563 0.5000 [4 per cell]  6 Tl 3.17-3.29, 2 In 3.47
Bi: 0.0000 0.0000 0.0000 [2 per cell]  2 Bi 3.47, 4 Tl 3.59